[1]
An optimized crystal structure of NaTaCuTeS2, computed with GGA-PBE.

Computed properties:
Energy = -5.374 eV per atom

a b c (Å): 7.4530 7.4530 9.8976
angles (deg): 90.00 90.00 152.24
With the nearest neighbours (Å) after each atom.
Fractional coordinates of all 12 atoms:
Cu (0.0248, 0.9752, 0.2500)  2 S 2.25
Cu (0.9752, 0.0248, 0.7500)  2 S 2.25
Na (0.7062, 0.2938, 0.2500)  4 S 2.90, 2 Cu 3.18
Na (0.2938, 0.7062, 0.7500)  4 S 2.90, 2 Cu 3.18
S (0.1135, 0.8865, 0.0635)  1 Cu 2.25, 2 Ta 2.51
S (0.1135, 0.8865, 0.4365)  1 Cu 2.25, 2 Ta 2.51
S (0.8865, 0.1135, 0.5635)  1 Cu 2.25, 2 Ta 2.51
S (0.8865, 0.1135, 0.9365)  1 Cu 2.25, 2 Ta 2.51
Ta (0.5000, 0.5000, 0.0000)  4 S 2.51
Ta (0.5000, 0.5000, 0.5000)  4 S 2.51
Te (0.3945, 0.6055, 0.2500)  2 Cu 2.60, 2 Ta 2.91
Te (0.6055, 0.3945, 0.7500)  2 Cu 2.60, 2 Ta 2.91

***

[2]
An optimized crystal structure of NaTbCu3S4, computed with GGA-PBE.

Computed properties:
Relative energy among the computed polymorphs = 0.107 eV per atom

a b c (Å): 5.8609 5.8609 5.8609
angles (deg): 90.00 90.00 90.00
With the nearest neighbours (Å) after each atom.
Fractional coordinates of all 9 atoms:
Cu (0.5000, 0.5000, 0.0000)  4 S 2.52
Cu (0.5000, 0.0000, 0.5000)  4 S 2.52
Cu (0.0000, 0.5000, 0.5000)  4 S 2.52
Na (0.0000, 0.0000, 0.0000)  4 S 2.58
S (0.2546, 0.2546, 0.2546)  1 Tb 2.49, 3 Cu 2.52, 1 Na 2.58
S (0.7454, 0.7454, 0.2546)  1 Tb 2.49, 3 Cu 2.52, 1 Na 2.58
S (0.7454, 0.2546, 0.7454)  1 Tb 2.49, 3 Cu 2.52, 1 Na 2.58
S (0.2546, 0.7454, 0.7454)  1 Tb 2.49, 3 Cu 2.52, 1 Na 2.58
Tb (0.5000, 0.5000, 0.5000)  4 S 2.49

***

[3]
An optimized crystal structure of NaTbCu3S4, computed with GGA-PBE.

Computed properties:
Relative energy among the computed polymorphs = 0.000 eV per atom

a b c (Å): 5.8961 7.0600 9.5784
angles (deg): 90.00 103.73 90.00
With the nearest neighbours (Å) after each atom.
Fractional coordinates of all 18 atoms:
Cu (0.5605, 0.2500, 0.2240)  3 S 2.18-2.27
Cu (0.7080, 0.0641, 0.4785)  3 S 2.28-2.43
Cu (0.7080, 0.4359, 0.4785)  3 S 2.28-2.43
Cu (0.2920, 0.5641, 0.5215)  3 S 2.28-2.43
Cu (0.2920, 0.9359, 0.5215)  3 S 2.28-2.43
Cu (0.4395, 0.7500, 0.7760)  3 S 2.18-2.27
Na (0.6739, 0.7500, 0.1314)  4 S 2.81-3.00
Na (0.3261, 0.2500, 0.8686)  4 S 2.81-3.00
S (0.7660, 0.2500, 0.0622)  1 Cu 2.18
S (0.4004, 0.5153, 0.2944)  3 Cu 2.27-2.43
S (0.4004, 0.9847, 0.2944)  3 Cu 2.27-2.43
S (0.9667, 0.7500, 0.4333)  2 Cu 2.31
S (0.0333, 0.2500, 0.5667)  2 Cu 2.31
S (0.5996, 0.0153, 0.7056)  3 Cu 2.27-2.43
S (0.5996, 0.4847, 0.7056)  3 Cu 2.27-2.43
S (0.2340, 0.7500, 0.9378)  1 Cu 2.18
Tb (0.0890, 0.2500, 0.2977)  4 S 2.58-2.67
Tb (0.9110, 0.7500, 0.7023)  4 S 2.58-2.67

***

[4]
An optimized crystal structure of Na2Cu2TcS4, computed with GGA-PBE.

Computed properties:
Energy = -4.651 eV per atom

a b c (Å): 7.0560 7.0560 6.9611
angles (deg): 111.56 111.56 29.92
With the nearest neighbours (Å) after each atom.
Fractional coordinates of all 9 atoms:
Cu (0.3194, 0.3194, 0.0165)  4 S 2.27-2.45
Cu (0.6806, 0.6806, 0.9835)  4 S 2.27-2.45
Na (0.8635, 0.8635, 0.4429)  7 S 2.91-3.21, 1 Cu 3.22
Na (0.1365, 0.1365, 0.5571)  7 S 2.91-3.21, 1 Cu 3.22
S (0.1966, 0.1966, 0.1976)  3 Cu 2.31-2.45, 1 Tc 2.50
S (0.4920, 0.4920, 0.2387)  1 Cu 2.27, 2 Tc 2.50
S (0.5080, 0.5080, 0.7613)  1 Cu 2.27, 2 Tc 2.50
S (0.8034, 0.8034, 0.8024)  3 Cu 2.31-2.45, 1 Tc 2.50
Tc (0.0000, 0.0000, 0.0000)  6 S 2.50

***

[5]
An optimized crystal structure of NaCuTcTe2S, computed with GGA-PBE.

Computed properties:
Energy = -4.534 eV per atom

a b c (Å): 7.4799 7.4799 9.7581
angles (deg): 90.00 90.00 151.00
With the nearest neighbours (Å) after each atom.
Fractional coordinates of all 12 atoms:
Cu (0.9739, 0.0261, 0.2500)  2 S 2.26
Cu (0.0261, 0.9739, 0.7500)  2 S 2.26
Na (0.2345, 0.7655, 0.2500)  2 S 3.12, 6 Te 3.18-3.34
Na (0.7655, 0.2345, 0.7500)  2 S 3.12, 6 Te 3.18-3.34
S (0.5619, 0.4381, 0.2500)  2 Cu 2.26
S (0.4381, 0.5619, 0.7500)  2 Cu 2.26
Tc (0.5000, 0.5000, 0.0000)  2 S 2.60, 4 Te 2.75
Tc (0.5000, 0.5000, 0.5000)  2 S 2.60, 4 Te 2.75
Te (0.8637, 0.1363, 0.0418)  1 Cu 2.58, 2 Tc 2.75
Te (0.8637, 0.1363, 0.4582)  1 Cu 2.58, 2 Tc 2.75
Te (0.1363, 0.8637, 0.5418)  1 Cu 2.58, 2 Tc 2.75
Te (0.1363, 0.8637, 0.9582)  1 Cu 2.58, 2 Tc 2.75

***

[6]
An optimized crystal structure of NaCuTcTeS2, computed with GGA-PBE.

Computed properties:
Energy = -4.846 eV per atom

a b c (Å): 7.3669 7.3669 9.7233
angles (deg): 90.00 90.00 152.15
With the nearest neighbours (Å) after each atom.
Fractional coordinates of all 12 atoms:
Cu (0.4657, 0.5343, 0.2500)  2 S 2.23
Cu (0.5343, 0.4657, 0.7500)  2 S 2.23
Na (0.7883, 0.2117, 0.2500)  4 S 2.96, 2 Cu 3.10, 2 Te 3.23
Na (0.2117, 0.7883, 0.7500)  4 S 2.96, 2 Cu 3.10, 2 Te 3.23
S (0.3865, 0.6135, 0.0529)  1 Cu 2.23, 2 Tc 2.46
S (0.3865, 0.6135, 0.4471)  1 Cu 2.23, 2 Tc 2.46
S (0.6135, 0.3865, 0.5529)  1 Cu 2.23, 2 Tc 2.46
S (0.6135, 0.3865, 0.9471)  1 Cu 2.23, 2 Tc 2.46
Tc (0.0000, 0.0000, 0.0000)  4 S 2.46
Tc (0.0000, 0.0000, 0.5000)  4 S 2.46
Te (0.0994, 0.9006, 0.2500)  2 Cu 2.61, 2 Tc 2.82
Te (0.9006, 0.0994, 0.7500)  2 Cu 2.61, 2 Tc 2.82

***

[7]
An optimized crystal structure of Na2Cu2WS4, computed with GGA-PBE.

Computed properties:
Energy = -4.934 eV per atom

a b c (Å): 6.9783 6.9783 6.9950
angles (deg): 111.34 111.34 30.29
With the nearest neighbours (Å) after each atom.
Fractional coordinates of all 9 atoms:
Cu (0.3218, 0.3218, 0.0148)  4 S 2.25-2.47
Cu (0.6782, 0.6782, 0.9852)  4 S 2.25-2.47
Na (0.8630, 0.8630, 0.4413)  7 S 2.88-3.19, 1 Cu 3.22
Na (0.1370, 0.1370, 0.5587)  7 S 2.88-3.19, 1 Cu 3.22
S (0.1979, 0.1979, 0.2000)  3 Cu 2.31-2.47, 1 W 2.50
S (0.4928, 0.4928, 0.2416)  1 Cu 2.25, 2 W 2.51
S (0.5072, 0.5072, 0.7584)  1 Cu 2.25, 2 W 2.51
S (0.8021, 0.8021, 0.8000)  3 Cu 2.31-2.47, 1 W 2.50
W (0.0000, 0.0000, 0.0000)  6 S 2.50-2.51

***

[8]
An optimized crystal structure of NaCuSb, computed with GGA-PBE.

Computed properties:
Energy = -3.143 eV per atom

a b c (Å): 4.5083 4.5083 4.5083
angles (deg): 60.00 60.00 60.00
With the nearest neighbours (Å) after each atom.
Fractional coordinates of all 3 atoms:
Cu (0.0000, 0.0000, 0.0000)  4 Na 2.76, 4 Sb 2.76
Na (0.2500, 0.2500, 0.2500)  4 Cu 2.76
Sb (0.7500, 0.7500, 0.7500)  4 Cu 2.76

***

[9]
An optimized crystal structure of NaCuSb, computed with GGA-PBE.

Computed properties:
Energy = -2.564 eV per atom

a b c (Å): 4.6410 4.6410 4.6410
angles (deg): 60.00 60.00 60.00
With the nearest neighbours (Å) after each atom.
Fractional coordinates of all 3 atoms:
Cu (0.2500, 0.2500, 0.2500)  4 Na 2.84
Na (0.0000, 0.0000, 0.0000)  4 Sb 2.84, 4 Cu 2.84
Sb (0.7500, 0.7500, 0.7500)  4 Na 2.84

***

[10]
An optimized crystal structure of NaScCu, computed with GGA-PBE.

Computed properties:
Energy = -3.095 eV per atom

a b c (Å): 4.6097 4.6097 4.6097
angles (deg): 60.00 60.00 60.00
With the nearest neighbours (Å) after each atom.
Fractional coordinates of all 3 atoms:
Cu (0.2500, 0.2500, 0.2500)  4 Sc 2.82
Na (0.7500, 0.7500, 0.7500)  4 Sc 2.82
Sc (0.0000, 0.0000, 0.0000)  4 Na 2.82, 4 Cu 2.82